[1]
Ce2SmHg2Pb2 (GGA-PBE, relaxed); total magnetic moment = 2.893 μB/cell; SG = R-3m, No. 166; E = -3.716 eV/atom; formation energy from the elements = -0.20 eV/atom; volume = 28.617 Å³/atom
1.0
4.9940 0.0000 0.0000
2.4970 4.3249 0.0000
2.4970 1.4416 9.2746
Ce Sm Hg Pb
2 1 2 2
Direct
0.1422 0.1422 0.5734
0.8578 0.8578 0.4266
0.0000 0.0000 0.0000
0.5668 0.5668 0.2995
0.4332 0.4332 0.7005
0.7255 0.7255 0.8235
0.2745 0.2745 0.1765

=====

[2]
Ca3HfU3N8 (GGA-PBE, relaxed); total magnetic moment = 4.014 μB/cell; SG = R-3m, No. 166; E = -9.079 eV/atom; uncorrected formation energy = -1.317 eV per atom; volume = 15.430 Å³/atom
1.0
-4.0648 5.0565 2.1811
1.9601 -4.9247 4.3306
4.6373 4.6739 -2.1932
Ca Hf U N
3 1 3 8
Direct
0.0000 0.0000 0.0000
0.0000 0.5000 0.0000
0.5000 0.5000 0.0000
0.0000 0.0000 0.5000
0.5000 0.0000 0.5000
0.5000 0.5000 0.5000
0.0000 0.5000 0.5000
0.2586 0.5172 0.2758
0.7414 0.4828 0.7242
0.7731 0.5461 0.3060
0.2269 0.4539 0.6940
0.7730 0.0329 0.3059
0.2270 0.9671 0.6941
0.2599 0.0329 0.3059
0.7401 0.9671 0.6941

=====

[3]
CdBSbI2 (GGA-PBE, relaxed); energy above the lowest structure with this stoichiometry = 0.000 eV per atom; total magnetic moment = 0.000 μB/cell; SG = P4/mmm, No. 123; E = -2.250 eV/atom; uncorrected formation energy = 0.713 eV per atom; volume = 26.619 Å³/atom
1.0
5.0753 0.0000 0.0000
0.0000 5.0753 0.0000
0.0000 0.0000 5.1669
I Sb B Cd
2 1 1 1
Direct
0.0000 0.5000 0.0000
0.5000 0.0000 0.0000
0.0000 0.0000 0.5000
0.0000 0.0000 0.0000
0.5000 0.5000 0.5000

=====

[4]
EuSc3Tc (GGA-PBE, relaxed); total magnetic moment = 7.014 μB/cell; SG = Pm-3m, No. 221; E = -7.931 eV/atom; formation energy from the elements = 0.00 eV/atom; volume = 26.976 Å³/atom
1.0
-2.4154 -0.4305 4.5034
-4.3720 -1.0900 -2.4491
1.1628 -4.9927 0.1464
Eu Sc Tc
1 3 1
Direct
0.5000 0.5000 0.5000
0.0000 0.5000 0.0000
0.0000 0.0000 0.5000
0.5000 0.0000 0.0000
0.0000 0.0000 0.0000

=====

[5]
ZrPaCuTc (GGA-PBE, relaxed); total magnetic moment = 0.000 μB/cell; SG = F-43m, No. 216; E = -8.221 eV/atom; formation energy from the elements = -0.09 eV/atom; volume = 19.117 Å³/atom
1.0
-4.7074 0.4165 0.6045
-1.9359 -0.8327 4.2729
-1.7627 3.6101 2.5610
Pa Tc Zr Cu
1 1 1 1
Direct
0.5000 0.5000 0.5000
0.7500 0.7500 0.7500
0.0000 0.0000 0.0000
0.2500 0.2500 0.2500

=====

[6]
KRb8Hg2O (GGA-PBE, relaxed); total magnetic moment = 0.000 μB/cell; SG = P-1, No. 2; E = -1.482 eV/atom; uncorrected formation energy = -0.282 eV per atom; volume = 59.324 Å³/atom
1.0
-0.3330 1.1881 8.8295
7.3349 -2.0300 1.8076
5.6727 9.0774 -0.5813
K Rb Hg O
1 8 2 1
Direct
0.0000 0.0000 0.5000
0.0391 0.6876 0.2053
0.7408 0.8814 0.9096
0.7956 0.1889 0.1361
0.9609 0.3124 0.7947
0.2592 0.1186 0.0904
0.2044 0.8111 0.8639
0.5893 0.7260 0.4695
0.4107 0.2740 0.5305
0.5280 0.4487 0.8621
0.4720 0.5513 0.1379
0.0000 0.0000 0.0000

=====

volume of number 2 (Ca3HfU3N8)?
15.430 Å³/atom

=====

What is the volume in the third record?
26.619 Å³/atom

=====

Among the records above, which one has the highest total magnetic moment?
EuSc3Tc